(1)
Entry from Alexandria via LeMat-Bulk: a PBEsol-optimized structure of BeH4NF3 (meta-GGA SCAN).

Summary:
space-group type = Pc
offset from the most stable computed form = 4 meV/atom
DOS(E_F) = 0.00 states/eV/atom

Structure (POSCAR):
```
BeH4NF3
1.0
5.804 0.000 0.000
0.000 4.506 0.000
-5.775 0.000 13.380
Be H N F
4 16 4 12
Direct
0.000 0.028 0.000
0.000 0.972 0.500
0.273 0.472 0.623
0.273 0.528 0.123
0.290 0.377 0.429
0.290 0.623 0.929
0.387 0.402 0.334
0.387 0.598 0.834
0.550 0.410 0.944
0.550 0.590 0.444
0.560 0.209 0.441
0.560 0.791 0.941
0.712 0.292 0.181
0.712 0.708 0.681
0.721 0.089 0.678
0.721 0.911 0.178
0.884 0.099 0.288
0.884 0.901 0.788
0.981 0.124 0.194
0.981 0.876 0.694
0.448 0.398 0.412
0.448 0.602 0.912
0.823 0.103 0.210
0.823 0.897 0.710
0.020 0.125 0.410
0.020 0.875 0.910
0.106 0.184 0.595
0.106 0.816 0.095
0.166 0.317 0.028
0.166 0.683 0.528
0.253 0.375 0.213
0.253 0.625 0.713
0.547 0.398 0.640
0.547 0.602 0.140
0.726 0.102 0.982
0.726 0.898 0.482
```



(2)
Entry from Alexandria via LeMat-Bulk: a PBEsol-optimized structure of Zn5Ni4 (meta-GGA SCAN).

Summary:
space-group type = I4/mmm
offset from the most stable computed form = 0 meV/atom
formation energy from the elements = -0.136 eV/atom
DOS(E_F) = 0.51 states/eV/atom

Structure (POSCAR):
```
Zn5Ni4
1.0
-3.787 3.787 1.846
3.787 -3.787 1.846
3.787 3.787 -1.846
Zn Ni
5 4
Direct
0.000 0.000 0.000
0.329 0.329 0.658
0.329 0.671 0.000
0.671 0.329 0.000
0.671 0.671 0.342
0.000 0.337 0.337
0.000 0.663 0.663
0.337 0.000 0.337
0.663 0.000 0.663
```



(3)
Entry from Alexandria via LeMat-Bulk: a PBEsol-optimized structure of CaYSi (meta-GGA SCAN).

Summary:
space-group type = Imm2
raw formation energy = -0.281 eV/atom
DOS(E_F) = 0.76 states/eV/atom

Structure (POSCAR):
```
CaYSi
1.0
-1.675 1.901 6.262
1.675 -1.901 6.262
1.675 1.901 -6.262
Ca Y Si
1 1 1
Direct
0.000 0.000 0.000
0.260 0.260 0.000
0.643 0.643 0.000
```



(4)
Entry from Alexandria via LeMat-Bulk: a PBEsol-optimized structure of Ba2SrTl (meta-GGA SCAN).

Summary:
space-group type = Immm
offset from the most stable computed form = 50 meV/atom
formation energy from the elements = -0.268 eV/atom
DOS(E_F) = 0.68 states/eV/atom

Structure (POSCAR):
```
Ba2SrTl
1.0
-2.157 3.040 6.668
2.157 -3.040 6.668
2.157 3.040 -6.668
Ba Sr Tl
2 1 1
Direct
0.204 0.204 0.000
0.796 0.796 0.000
0.500 0.000 0.500
0.000 0.500 0.500
```



(5)
Entry from Alexandria via LeMat-Bulk: a PBEsol-optimized structure of Li12CrGa11O24 (meta-GGA SCAN).

Summary:
space-group type = P1
raw formation energy = -2.207 eV/atom

Structure (POSCAR):
```
Li12CrGa11O24
1.0
7.362 0.000 0.000
3.306 7.363 0.000
0.609 1.784 9.526
Li Cr Ga O
12 1 11 24
Direct
0.000 0.000 0.000
0.021 0.609 0.139
0.113 0.943 0.555
0.257 0.999 0.252
0.334 0.332 0.666
0.359 0.949 0.802
0.440 0.282 0.219
0.576 0.338 0.914
0.670 0.662 0.331
0.694 0.276 0.474
0.771 0.610 0.890
0.917 0.665 0.584
0.823 0.331 0.167
0.089 0.329 0.415
0.165 0.669 0.832
0.193 0.276 0.972
0.279 0.613 0.387
0.409 0.677 0.079
0.507 0.002 0.496
0.529 0.613 0.635
0.611 0.950 0.054
0.753 0.999 0.749
0.871 0.941 0.303
0.944 0.281 0.721
0.048 0.790 0.447
0.066 0.400 0.588
0.121 0.141 0.868
0.159 0.737 0.005
0.212 0.462 0.298
0.250 0.079 0.431
0.301 0.416 0.847
0.305 0.779 0.708
0.380 0.129 0.111
0.400 0.733 0.256
0.456 0.475 0.535
0.505 0.067 0.670
0.542 0.802 0.963
0.565 0.428 0.091
0.643 0.115 0.369
0.643 0.749 0.511
0.712 0.460 0.776
0.730 0.071 0.922
0.789 0.810 0.201
0.840 0.390 0.340
0.882 0.126 0.632
0.908 0.748 0.765
0.962 0.440 0.043
0.991 0.075 0.184
```



(6)
Entry from Alexandria via LeMat-Bulk: a PBEsol-optimized structure of InGaAs2 (meta-GGA SCAN).

Summary:
space-group type = R3m
offset from the most stable computed form = 25 meV/atom
formation energy from the elements = -0.315 eV/atom
DOS(E_F) = 0.03 states/eV/atom

Structure (POSCAR):
```
InGaAs2
1.0
2.076 1.198 6.804
-2.076 1.198 6.804
0.000 -2.397 6.804
In Ga As
1 1 2
Direct
0.000 0.000 0.000
0.501 0.501 0.501
0.381 0.381 0.381
0.871 0.871 0.871
```



(7)
Entry from Alexandria via LeMat-Bulk: a PBEsol-optimized structure of SrBe2In (meta-GGA SCAN).

Summary:
space-group type = F-43m
formation energy from the elements = 0.489 eV/atom
DOS(E_F) = 0.25 states/eV/atom

Structure (POSCAR):
```
SrBe2In
1.0
0.000 3.389 3.389
3.389 0.000 3.389
3.389 3.389 0.000
Sr Be In
1 2 1
Direct
0.000 0.000 0.000
0.250 0.250 0.250
0.500 0.500 0.500
0.750 0.750 0.750
```



(8)
Entry from Alexandria via LeMat-Bulk: a PBEsol-optimized structure of SrLa2Au2 (meta-GGA SCAN).

Summary:
space-group type = P4/mbm
formation energy from the elements = -0.817 eV/atom
DOS(E_F) = 1.10 states/eV/atom

Structure (POSCAR):
```
SrLa2Au2
1.0
8.506 0.000 0.000
0.000 8.506 0.000
0.000 0.000 3.952
Sr La Au
2 4 4
Direct
0.000 0.000 0.000
0.500 0.500 0.000
0.159 0.341 0.500
0.341 0.841 0.500
0.659 0.159 0.500
0.841 0.659 0.500
0.130 0.630 0.000
0.370 0.130 0.000
0.630 0.870 0.000
0.870 0.370 0.000
```